# KNaAg3, optimized geometry, DFT PBE
# Uncorrected energy = -1.80 eV per atom
# ΔH_f (0 K) = 0.395 eV per atom
# Volume = 31.44 Å³ per atom
# Energy above the most stable polymorph in this dataset = 1.80 eV per formula unit
data_KNaAg3
_chemical_formula_sum 'K1 Na1 Ag3'
_cell_length_a 5.397
_cell_length_b 5.397
_cell_length_c 5.397
_cell_angle_alpha 90.00
_cell_angle_beta 90.00
_cell_angle_gamma 90.00
_symmetry_space_group_name_H-M 'P m -3 m'
_symmetry_Int_Tables_number 221
_symmetry_space_group_name_Hall '-P 4 2 3'
loop_
_atom_site_label
_atom_site_fract_x
_atom_site_fract_y
_atom_site_fract_z
K1 0.000 0.000 0.000
Na1 0.500 0.500 0.500
Ag1 0.000 0.500 0.500

=====

# K4NaAg, optimized geometry, DFT PBE
# Uncorrected energy = -1.39 eV per atom
# ΔH_f (0 K) = 0.035 eV per atom
# Volume = 52.70 Å³ per atom
# Energy above the most stable polymorph in this dataset = 0.09 eV per formula unit
data_K4NaAg
_chemical_formula_sum 'K16 Na4 Ag4'
_cell_length_a 11.033
_cell_length_b 16.357
_cell_length_c 7.464
_cell_angle_alpha 90.00
_cell_angle_beta 110.13
_cell_angle_gamma 90.00
_symmetry_space_group_name_H-M 'C 1 2/c 1'
_symmetry_Int_Tables_number 15
loop_
_symmetry_equiv_pos_as_xyz
'x,y,z'
'-x,-y,-z'
'-x,y,-z+1/2'
'x,-y,z+1/2'
'x+1/2,y+1/2,z'
'-x+1/2,-y+1/2,-z'
'-x+1/2,y+1/2,-z+1/2'
'x+1/2,-y+1/2,z+1/2'
loop_
_atom_site_label
_atom_site_fract_x
_atom_site_fract_y
_atom_site_fract_z
K1 0.107 0.170 0.060
K2 0.222 0.421 0.362
Na1 0.000 0.378 0.750
Ag1 0.000 0.001 0.750

=====

# K6Na2Ag, optimized geometry, DFT PBE
# Uncorrected energy = -1.29 eV per atom
# ΔH_f (0 K) = 0.047 eV per atom
# Volume = 57.96 Å³ per atom
data_K6Na2Ag
_chemical_formula_sum 'K12 Na4 Ag2'
_cell_length_a 8.019
_cell_length_b 12.444
_cell_length_c 12.717
_cell_angle_alpha 90.00
_cell_angle_beta 124.71
_cell_angle_gamma 90.00
_symmetry_space_group_name_H-M 'P 1 21/c 1'
_symmetry_Int_Tables_number 14
loop_
_symmetry_equiv_pos_as_xyz
'x,y,z'
'-x,-y,-z'
'-x,y+1/2,-z+1/2'
'x,-y+1/2,z+1/2'
loop_
_atom_site_label
_atom_site_fract_x
_atom_site_fract_y
_atom_site_fract_z
K1 0.113 0.145 0.467
K2 0.299 0.746 0.438
K3 0.315 0.041 0.190
Na1 0.202 0.071 0.825
Ag1 0.500 0.000 0.500

=====

# K2Na2Ag, optimized geometry, DFT PBE
# Uncorrected energy = -1.47 eV per atom
# ΔH_f (0 K) = 0.072 eV per atom
# Volume = 41.24 Å³ per atom
# Energy above the most stable polymorph in this dataset = 0.09 eV per formula unit
data_K2Na2Ag
_chemical_formula_sum 'K4 Na4 Ag2'
_cell_length_a 8.161
_cell_length_b 8.161
_cell_length_c 6.191
_cell_angle_alpha 90.00
_cell_angle_beta 90.00
_cell_angle_gamma 90.00
_symmetry_space_group_name_H-M 'P 4/m b m'
_symmetry_Int_Tables_number 127
_symmetry_space_group_name_Hall '-P 4 2ab'
loop_
_atom_site_label
_atom_site_fract_x
_atom_site_fract_y
_atom_site_fract_z
K1 0.187 0.313 0.000
Na1 0.149 0.649 0.500
Ag1 0.000 0.000 0.500

=====

# KNaAg, optimized geometry, DFT PBE
# Uncorrected energy = -1.74 eV per atom
# ΔH_f (0 K) = 0.013 eV per atom
# Volume = 36.82 Å³ per atom
# Energy above the most stable polymorph in this dataset = 0.00 eV per formula unit
data_KNaAg
_chemical_formula_sum 'K4 Na4 Ag4'
_cell_length_a 4.663
_cell_length_b 6.871
_cell_length_c 13.793
_cell_angle_alpha 90.00
_cell_angle_beta 90.00
_cell_angle_gamma 90.00
_symmetry_space_group_name_H-M 'I m m m'
_symmetry_Int_Tables_number 71
_symmetry_space_group_name_Hall '-I 2 2'
loop_
_atom_site_label
_atom_site_fract_x
_atom_site_fract_y
_atom_site_fract_z
K1 0.000 0.000 0.205
Na1 0.000 0.235 0.500
Ag1 0.000 0.500 0.103

=====

# K2Na5Ag, optimized geometry, DFT PBE
# Uncorrected energy = -1.41 eV per atom
# ΔH_f (0 K) = 0.048 eV per atom
# Volume = 40.00 Å³ per atom
data_K2Na5Ag
_chemical_formula_sum 'K4 Na10 Ag2'
_cell_length_a 10.218
_cell_length_b 10.540
_cell_length_c 7.814
_cell_angle_alpha 90.00
_cell_angle_beta 130.49
_cell_angle_gamma 90.00
_symmetry_space_group_name_H-M 'C 1 m 1'
_symmetry_Int_Tables_number 8
loop_
_symmetry_equiv_pos_as_xyz
'x,y,z'
'x,-y,z'
'x+1/2,y+1/2,z'
'x+1/2,-y+1/2,z'
loop_
_atom_site_label
_atom_site_fract_x
_atom_site_fract_y
_atom_site_fract_z
K1 0.000 0.250 0.000
Na1 0.192 0.000 0.543
Na2 0.251 0.500 0.001
Na3 0.348 0.500 0.543
Na4 0.481 0.170 0.461
Ag1 0.251 0.000 0.006

=====

# K4NaAg, optimized geometry, DFT PBE
# Uncorrected energy = -1.41 eV per atom
# ΔH_f (0 K) = 0.021 eV per atom
# Volume = 52.02 Å³ per atom
# Energy above the most stable polymorph in this dataset = 0.00 eV per formula unit
data_K4NaAg
_chemical_formula_sum 'K8 Na2 Ag2'
_cell_length_a 8.983
_cell_length_b 8.983
_cell_length_c 7.736
_cell_angle_alpha 90.00
_cell_angle_beta 90.00
_cell_angle_gamma 90.00
_symmetry_space_group_name_H-M 'P 4/m c c'
_symmetry_Int_Tables_number 124
_symmetry_space_group_name_Hall '-P 4 2c'
loop_
_atom_site_label
_atom_site_fract_x
_atom_site_fract_y
_atom_site_fract_z
K1 0.145 0.304 0.000
Na1 0.500 0.500 0.250
Ag1 0.000 0.000 0.250

=====

# K3NaAg, optimized geometry, DFT PBE
# Uncorrected energy = -1.47 eV per atom
# ΔH_f (0 K) = 0.023 eV per atom
# Volume = 49.69 Å³ per atom
# Energy above the most stable polymorph in this dataset = 0.00 eV per formula unit
data_K3NaAg
_chemical_formula_sum 'K12 Na4 Ag4'
_cell_length_a 13.972
_cell_length_b 13.972
_cell_length_c 5.090
_cell_angle_alpha 90.00
_cell_angle_beta 90.00
_cell_angle_gamma 90.00
_symmetry_space_group_name_H-M 'P 42/m n m'
_symmetry_Int_Tables_number 136
_symmetry_space_group_name_Hall '-P 4n 2n'
loop_
_atom_site_label
_atom_site_fract_x
_atom_site_fract_y
_atom_site_fract_z
K1 0.019 0.320 0.000
K2 0.107 0.893 0.500
Na1 0.176 0.176 0.500
Ag1 0.072 0.072 0.000